1.
A geometry-optimized LiY2Zn structure. Source: Alexandria via LeMat-Bulk, functional PBE-GGA.

Results
The calculation puts the formation energy at 0.408 eV per atom.

a b c (Å): 3.322 5.476 12.926
angles (deg): 90.00 90.00 90.00
Space group Immm (No. 71)
One atom of each set of equivalent atoms:
1 Li 0.000 0.000 0.000 x2
2 Y 0.000 0.000 0.275 x4
3 Zn 0.000 0.000 0.500 x2

2.
A geometry-optimized Zr2TiAgO structure. Source: Alexandria via LeMat-Bulk, functional PBE-GGA.

Results
As for the polymorph energy (0 for the lowest one): 1051 meV per atom. The uncorrected formation energy comes out at 0.0 eV/f.u.

a b c (Å): 5.348 5.348 3.664
angles (deg): 90.00 90.00 90.00
Space group P4/mmm (No. 123)
One atom of each set of equivalent atoms:
1 Zr 0.000 0.500 0.000 x2
2 Ti 0.000 0.000 0.000 x1
3 Ag 0.500 0.500 0.500 x1
4 O 0.000 0.000 0.500 x1

3.
A geometry-optimized Li2GePt5 structure. Source: Alexandria via LeMat-Bulk, functional PBE-GGA.

Results
The calculation puts the formation energy at -0.557 eV per atom.

a b c (Å): 5.444 10.644 3.976
angles (deg): 90.00 90.00 90.00
Space group Pbam (No. 55)
One atom of each set of equivalent atoms:
1 Li 0.194 0.137 0.000 x4
2 Ge 0.000 0.500 0.500 x2
3 Pt 0.000 0.000 0.500 x2
4 Pt 0.054 0.742 0.500 x4
5 Pt 0.207 0.388 0.000 x4

4.
A geometry-optimized SmThSc2Se4 structure. Source: Alexandria via LeMat-Bulk, functional PBE-GGA.

Results
The uncorrected formation energy comes out at -12.9 eV/f.u.

a b c (Å): 6.905 3.965 7.154
angles (deg): 90.00 108.64 90.00
Space group P2/m (No. 10)
One atom of each set of equivalent atoms:
1 Sm 0.000 0.000 0.000 x1
2 Th 0.500 0.500 0.000 x1
3 Sc 0.000 0.500 0.500 x1
4 Sc 0.500 0.000 0.500 x1
5 Se 0.238 0.000 0.721 x2
6 Se 0.257 0.500 0.277 x2

5.
A geometry-optimized RbInTcB2 structure. Source: Alexandria via LeMat-Bulk, functional PBE-GGA.

Results
The calculation puts the formation energy at 1.363 eV per atom.

a b c (Å): 4.297 4.297 5.727
angles (deg): 90.00 90.00 90.00
Space group P4/mmm (No. 123)
One atom of each set of equivalent atoms:
1 Rb 0.000 0.000 0.000 x1
2 In 0.500 0.500 0.000 x1
3 Tc 0.000 0.000 0.500 x1
4 B 0.000 0.500 0.500 x2